Entry 1:
Al2CrCl: relaxed, PBE-GGA.

* raw total energy: -4.63 eV per atom
* spin magnetization: 2.96 Bohr magnetons per cell
* raw formation energy: 110 meV/atom
* relative energy among the computed polymorphs: 0.190 eV per atom

Lattice parameters (Å, degrees): 7.469 4.848 2.899 90.09 67.04 130.83
Each line ends with the local moment (μB).
Sites, in units of the cell vectors:
Cr (0.500, 0.500, 0.000)  2.92
Al (0.000, 0.000, 0.000)  -0.06
Al (0.500, 0.000, 0.500)  -0.06
Cl (0.000, 0.500, 0.500)  0.04



Entry 2:
Al2CrCl: relaxed, PBE-GGA.

* raw total energy: -4.52 eV per atom
* spin magnetization: 4.03 Bohr magnetons per cell
* raw formation energy: 219 meV/atom
* relative energy among the computed polymorphs: 0.299 eV per atom

Lattice parameters (Å, degrees): 5.474 3.074 4.395 90.23 90.00 90.00
Each line ends with the local moment (μB).
Sites, in units of the cell vectors:
Cr (0.500, 0.750, 0.750)  3.74
Al (0.000, 0.998, 0.992)  -0.02
Al (0.000, 0.502, 0.508)  -0.02
Cl (0.500, 0.250, 0.250)  -0.02



Entry 3:
Al2CrCl: relaxed, PBE-GGA.

* raw total energy: -4.35 eV per atom
* spin magnetization: 3.54 Bohr magnetons per cell
* raw formation energy: 388 meV/atom
* relative energy among the computed polymorphs: 0.469 eV per atom

Lattice parameters (Å, degrees): 4.893 4.893 4.893 127.15 127.15 78.01
Each line ends with the local moment (μB).
Sites, in units of the cell vectors:
Cr (0.750, 0.250, 0.500)  3.52
Al (0.000, 0.000, 0.000)  -0.05
Al (0.250, 0.750, 0.500)  -0.05
Cl (0.500, 0.500, 0.000)  0.01